Arrangement one

DFT (PBE-GGA) results for crystalline CsCdGa at its relaxed geometry.

Values from the calculation:
space-group type	I4mm, No. 107

a = 3.8844 Å, b = 3.8844 Å, c = 7.3642 Å
α = 105.29°, β = 105.29°, γ = 90.00°
Atoms (fractional coordinates):
Cd 0.2850 0.2850 0.5699
Ga 0.7125 0.7125 0.4250
Cs 0.0026 0.0026 0.0051

Arrangement two

DFT (PBE-GGA) results for crystalline CsCdGa at its relaxed geometry.

Values from the calculation:
space-group type	Immm, No. 71

a = 5.0700 Å, b = 7.9640 Å, c = 7.6006 Å
α = 121.59°, β = 109.48°, γ = 90.00°
Atoms (fractional coordinates):
Ga 0.5000 0.8470 0.0000
Ga 0.5000 0.1530 0.0000
Cd 0.0000 0.7103 0.0000
Cd 0.0000 0.2897 0.0000
Cs 0.2725 0.2725 0.5451
Cs 0.7275 0.7275 0.4549

Arrangement three

DFT (PBE-GGA) results for crystalline CsCdGa at its relaxed geometry.

Values from the calculation:
space-group type	P-1, No. 2

a = 5.0030 Å, b = 5.8333 Å, c = 7.3702 Å
α = 108.53°, β = 89.95°, γ = 90.05°
Atoms (fractional coordinates):
Cs 0.8121 0.8262 0.1098
Cs 0.3122 0.3308 0.0636
Cd 0.8119 0.4338 0.5204
Cd 0.3121 0.7243 0.6530
Ga 0.8121 0.0007 0.6597
Ga 0.3116 0.1575 0.5134

Winner for stability: arrangement two

Arrangement one

DFT (PBE-GGA) results for crystalline CsCdGaHPt at its relaxed geometry.

Values from the calculation:
space-group type	Pm, No. 6

a = 3.6241 Å, b = 3.6970 Å, c = 9.5545 Å
α = 90.00°, β = 112.11°, γ = 90.00°
Atoms (fractional coordinates):
Cs 0.3998 0.0000 0.8191
Pt 0.7963 0.5000 0.2122
H 0.7468 0.5000 0.6651
Cd 0.5374 0.5000 0.4546
Ga 0.2742 0.0000 0.1904

Arrangement two

DFT (PBE-GGA) results for crystalline CsCdGaHPt at its relaxed geometry.

Values from the calculation:
space-group type	P3m1, No. 156

a = 4.5626 Å, b = 4.5626 Å, c = 7.2670 Å
α = 90.00°, β = 90.00°, γ = 120.00°
Atoms (fractional coordinates):
Pt 0.0000 0.0000 0.3767
Cs 0.3333 0.6667 0.9164
H 0.0000 0.0000 0.1503
Cd 0.6667 0.3333 0.5024
Ga 0.3333 0.6667 0.3955

Arrangement three

DFT (PBE-GGA) results for crystalline CsCdGaHPt at its relaxed geometry.

Values from the calculation:
space-group type	Cm, No. 8

a = 5.6118 Å, b = 4.1404 Å, c = 13.4388 Å
α = 90.00°, β = 110.45°, γ = 90.00°
Atoms (fractional coordinates):
Pt 0.1163 0.0000 0.4340
Pt 0.1163 0.5000 0.9340
Cs 0.5147 0.5000 0.6737
Cs 0.5147 0.0000 0.1737
H 0.0729 0.0000 0.5490
H 0.0729 0.5000 0.0491
Ga 0.2679 0.5000 0.3770
Ga 0.2679 0.0000 0.8770
Cd 0.7829 0.0000 0.9285
Cd 0.7829 0.5000 0.4285

Arrangement four

DFT (PBE-GGA) results for crystalline CsCdGaHPt at its relaxed geometry.

Values from the calculation:
space-group type	P1, No. 1

a = 4.6762 Å, b = 4.6769 Å, c = 7.1258 Å
α = 108.98°, β = 90.08°, γ = 119.98°
Atoms (fractional coordinates):
Cd 0.9237 0.0740 0.5178
H 0.3781 0.9816 0.8819
Cs 0.1072 0.4400 0.0711
Ga 0.2942 0.8147 0.6298
Pt 0.6038 0.4341 0.5581

Winner for stability: arrangement two

Arrangement one

DFT (PBE-GGA) results for crystalline CsCdGaHPt at its relaxed geometry.

Values from the calculation:
space-group type	P1, No. 1

a = 3.4383 Å, b = 4.7928 Å, c = 8.4490 Å
α = 92.46°, β = 101.93°, γ = 111.11°
Atoms (fractional coordinates):
Pt 0.8260 0.5660 0.7078
H 0.4024 0.6631 0.7605
Cd 0.2382 0.6705 0.4312
Ga 0.0955 0.1294 0.6812
Cs 0.7449 0.0327 0.0779

Arrangement two

DFT (PBE-GGA) results for crystalline CsCdGaHPt at its relaxed geometry.

Values from the calculation:
space-group type	Cm, No. 8

a = 7.0805 Å, b = 4.7039 Å, c = 8.1925 Å
α = 90.00°, β = 112.89°, γ = 90.00°
Atoms (fractional coordinates):
Cd 0.7593 0.5000 0.2165
Cd 0.7593 0.0000 0.7165
Ga 0.6712 0.5000 0.5196
Ga 0.6712 0.0000 0.0196
Pt 0.7470 0.5000 0.8795
Pt 0.7470 0.0000 0.3795
Cs 0.2260 0.5000 0.7046
Cs 0.2260 0.0000 0.2046
H 0.4148 0.0000 0.9355
H 0.4148 0.5000 0.4355

Winner for stability: arrangement two

Arrangement one

DFT (PBE-GGA) results for crystalline CsCdGaHPt at its relaxed geometry.

Values from the calculation:
space-group type	Cm, No. 8

a = 3.6610 Å, b = 4.7298 Å, c = 8.0358 Å
α = 89.36°, β = 76.82°, γ = 67.24°
Atoms (fractional coordinates):
Cs 0.3998 0.4939 0.0896
H 0.5861 0.5250 0.6869
Cd 0.9043 0.1135 0.4595
Ga 0.3224 0.0050 0.7354
Pt 0.0569 0.5828 0.6871

Arrangement two

DFT (PBE-GGA) results for crystalline CsCdGaHPt at its relaxed geometry.

Values from the calculation:
space-group type	P1, No. 1

a = 4.4581 Å, b = 5.3254 Å, c = 7.1061 Å
α = 111.82°, β = 107.92°, γ = 90.10°
Atoms (fractional coordinates):
Ga 0.3265 0.7174 0.8633
Cd 0.7346 0.1246 0.6806
Pt 0.7549 0.6430 0.7178
H 0.4592 0.8518 0.1323
Cs 0.0318 0.4178 0.2647

Arrangement three

DFT (PBE-GGA) results for crystalline CsCdGaHPt at its relaxed geometry.

Values from the calculation:
space-group type	Cm, No. 8

a = 7.4179 Å, b = 4.3731 Å, c = 9.2431 Å
α = 90.00°, β = 111.81°, γ = 90.00°
Atoms (fractional coordinates):
H 0.2958 0.5000 0.6274
H 0.2958 0.0000 0.1274
Ga 0.3041 0.5000 0.3926
Ga 0.3041 0.0000 0.8926
Cd 0.4678 0.5000 0.1399
Cd 0.4678 0.0000 0.6399
Pt 0.4019 0.5000 0.8210
Pt 0.4019 0.0000 0.3210
Cs 0.8718 0.0000 0.0671
Cs 0.8718 0.5000 0.5671

Arrangement four

DFT (PBE-GGA) results for crystalline CsCdGaHPt at its relaxed geometry.

Values from the calculation:
space-group type	Amm2, No. 38

a = 3.7900 Å, b = 4.1051 Å, c = 15.8853 Å
α = 90.00°, β = 90.00°, γ = 90.00°
Atoms (fractional coordinates):
H 0.0000 0.0000 0.1697
H 0.0000 0.5000 0.6697
Cs 0.5000 0.0000 0.7292
Cs 0.5000 0.5000 0.2292
Pt 0.5000 0.0000 0.9671
Pt 0.5000 0.5000 0.4671
Cd 0.0000 0.0000 0.4234
Cd 0.0000 0.5000 0.9234
Ga 0.0000 0.0000 0.0624
Ga 0.0000 0.5000 0.5624

Winner for stability: arrangement three

Arrangement one

DFT (PBE-GGA) results for crystalline CsCdGaHPt at its relaxed geometry.

Values from the calculation:
space-group type	Cm, No. 8

a = 7.0980 Å, b = 4.2964 Å, c = 9.2209 Å
α = 90.00°, β = 106.16°, γ = 90.00°
Atoms (fractional coordinates):
Cd 0.6839 0.0000 0.3990
Cd 0.6839 0.5000 0.8990
Cs 0.2013 0.5000 0.4237
Cs 0.2013 0.0000 0.9237
H 0.3960 0.5000 0.1661
H 0.3960 0.0000 0.6661
Pt 0.6345 0.0000 0.6905
Pt 0.6345 0.5000 0.1905
Ga 0.7429 0.0000 0.1071
Ga 0.7429 0.5000 0.6071

Arrangement two

DFT (PBE-GGA) results for crystalline CsCdGaHPt at its relaxed geometry.

Values from the calculation:
space-group type	Cm, No. 8

a = 4.2255 Å, b = 4.2223 Å, c = 8.5186 Å
α = 103.54°, β = 91.71°, γ = 117.99°
Atoms (fractional coordinates):
Cd 0.8606 0.4868 0.6888
H 0.9367 0.6363 0.9154
Pt 0.1274 0.0325 0.5020
Ga 0.4494 0.6646 0.4559
Cs 0.6603 0.0939 0.0963

Arrangement three

DFT (PBE-GGA) results for crystalline CsCdGaHPt at its relaxed geometry.

Values from the calculation:
space-group type	Cm, No. 8

a = 7.8968 Å, b = 3.7073 Å, c = 8.6274 Å
α = 90.00°, β = 99.51°, γ = 90.00°
Atoms (fractional coordinates):
Cs 0.8260 0.5000 0.2582
Cs 0.8260 0.0000 0.7582
H 0.4271 0.0000 0.7506
H 0.4271 0.5000 0.2506
Pt 0.4246 0.0000 0.2785
Pt 0.4246 0.5000 0.7785
Ga 0.4667 0.0000 0.9922
Ga 0.4667 0.5000 0.4922
Cd 0.1970 0.0000 0.5310
Cd 0.1970 0.5000 0.0310

Winner for stability: arrangement one

Arrangement one

DFT (PBE-GGA) results for crystalline CsCdGaHPt at its relaxed geometry.

Values from the calculation:
space-group type	Cm, No. 8

a = 7.5839 Å, b = 4.5423 Å, c = 7.9673 Å
α = 90.00°, β = 110.10°, γ = 90.00°
Atoms (fractional coordinates):
Cd 0.3359 0.0000 0.7699
Cd 0.3359 0.5000 0.2699
Cs 0.7754 0.5000 0.0818
Cs 0.7754 0.0000 0.5818
H 0.9668 0.0000 0.3112
H 0.9668 0.5000 0.8112
Ga 0.2167 0.5000 0.5635
Ga 0.2167 0.0000 0.0635
Pt 0.1969 0.0000 0.3916
Pt 0.1969 0.5000 0.8916

Arrangement two

DFT (PBE-GGA) results for crystalline CsCdGaHPt at its relaxed geometry.

Values from the calculation:
space-group type	R3m, No. 160

a = 4.5543 Å, b = 4.5543 Å, c = 21.0811 Å
α = 90.00°, β = 90.00°, γ = 120.00°
Atoms (fractional coordinates):
Pt 0.6667 0.3333 0.8225
Pt 0.0000 0.0000 0.4892
Pt 0.3333 0.6667 0.1559
H 0.3333 0.6667 0.2336
H 0.0000 0.0000 0.5669
H 0.6667 0.3333 0.9002
Cd 0.0000 0.0000 0.7759
Cd 0.3333 0.6667 0.4425
Cd 0.6667 0.3333 0.1092
Cs 0.0000 0.0000 0.9671
Cs 0.3333 0.6667 0.6338
Cs 0.6667 0.3333 0.3004
Ga 0.3333 0.6667 0.8204
Ga 0.0000 0.0000 0.1538
Ga 0.6667 0.3333 0.4871

Winner for stability: arrangement two

Arrangement one

DFT (PBE-GGA) results for crystalline CsCdGaHg2 at its relaxed geometry.

Values from the calculation:
space-group type	P4/mmm, No. 123

a = 5.8148 Å, b = 5.8148 Å, c = 5.3629 Å
α = 90.00°, β = 90.00°, γ = 90.00°
Atoms (fractional coordinates):
Ga 0.0000 0.0000 0.5000
Hg 0.0000 0.5000 0.0000
Hg 0.5000 0.0000 0.0000
Cs 0.5000 0.5000 0.5000
Cd 0.0000 0.0000 0.0000

Arrangement two

DFT (PBE-GGA) results for crystalline CsCdGaHg2 at its relaxed geometry.

Values from the calculation:
space-group type	P4/mmm, No. 123

a = 5.5732 Å, b = 5.5732 Å, c = 5.5260 Å
α = 90.00°, β = 90.00°, γ = 90.00°
Atoms (fractional coordinates):
Cs 0.5000 0.5000 0.5000
Cd 0.0000 0.0000 0.5000
Ga 0.0000 0.0000 0.0000
Hg 0.0000 0.5000 0.0000
Hg 0.5000 0.0000 0.0000

Winner for stability: arrangement two

Arrangement one

DFT (PBE-GGA) results for crystalline CsNa2CdGa at its relaxed geometry.

Values from the calculation:
space-group type	P4/mmm, No. 123

a = 5.9309 Å, b = 5.9309 Å, c = 5.5167 Å
α = 90.00°, β = 90.00°, γ = 90.00°
Atoms (fractional coordinates):
Cd 0.0000 0.0000 0.5000
Cs 0.5000 0.5000 0.5000
Na 0.5000 0.0000 0.0000
Na 0.0000 0.5000 0.0000
Ga 0.0000 0.0000 0.0000

Arrangement two

DFT (PBE-GGA) results for crystalline CsNa2CdGa at its relaxed geometry.

Values from the calculation:
space-group type	P4/mmm, No. 123

a = 6.0452 Å, b = 6.0452 Å, c = 5.3856 Å
α = 90.00°, β = 90.00°, γ = 90.00°
Atoms (fractional coordinates):
Na 0.0000 0.5000 0.0000
Na 0.5000 0.0000 0.0000
Cd 0.0000 0.0000 0.0000
Ga 0.0000 0.0000 0.5000
Cs 0.5000 0.5000 0.5000

Winner for stability: arrangement one

Arrangement one

DFT (PBE-GGA) results for crystalline CsRb2CdGa at its relaxed geometry.

Values from the calculation:
space-group type	P4/mmm, No. 123

a = 7.1108 Å, b = 7.1108 Å, c = 5.4884 Å
α = 90.00°, β = 90.00°, γ = 90.00°
Atoms (fractional coordinates):
Rb 0.5000 0.0000 0.0000
Rb 0.0000 0.5000 0.0000
Cd 0.0000 0.0000 0.5000
Cs 0.5000 0.5000 0.5000
Ga 0.0000 0.0000 0.0000

Arrangement two

DFT (PBE-GGA) results for crystalline CsRb2CdGa at its relaxed geometry.

Values from the calculation:
space-group type	P4/mmm, No. 123

a = 7.2281 Å, b = 7.2281 Å, c = 5.4764 Å
α = 90.00°, β = 90.00°, γ = 90.00°
Atoms (fractional coordinates):
Cd 0.0000 0.0000 0.0000
Rb 0.0000 0.5000 0.0000
Rb 0.5000 0.0000 0.0000
Ga 0.0000 0.0000 0.5000
Cs 0.5000 0.5000 0.5000

Winner for stability: arrangement one